This record from Alexandria describes an optimized crystal structure of SmDy5S6. The functional is GGA-PBE.

Cell and atoms, written as POSCAR:
```
SmDy5S6
1.0
3.3960 -5.8950 0.0000
3.3960 5.8950 0.0000
-2.2809 0.0000 6.3890
Sm Dy S
1 5 6
Direct
0.0000 0.0000 0.0000 Sm
0.1637 0.8363 0.5000 Dy
0.3342 0.6658 0.0000 Dy
0.5000 0.5000 0.5000 Dy
0.6658 0.3342 0.0000 Dy
0.8363 0.1637 0.5000 Dy
0.0843 0.4238 0.2538 S
0.2550 0.2550 0.7482 S
0.4238 0.0843 0.2538 S
0.5762 0.9157 0.7462 S
0.7450 0.7450 0.2518 S
0.9157 0.5762 0.7462 S
```



This record from Alexandria describes an optimized crystal structure of SmDy4S4. The functional is GGA-PBE.

Cell and atoms, written as POSCAR:
```
SmDy4S4
1.0
-4.3638 4.3638 2.7476
4.3638 -4.3638 2.7476
4.3638 4.3638 -2.7476
Sm Dy S
1 4 4
Direct
0.0000 0.0000 0.0000 Sm
0.1968 0.6055 0.8023 Dy
0.3945 0.1968 0.5914 Dy
0.6055 0.8032 0.4086 Dy
0.8032 0.3945 0.1977 Dy
0.0999 0.3056 0.4055 S
0.3056 0.9001 0.2057 S
0.6944 0.0999 0.7943 S
0.9001 0.6944 0.5945 S
```



This record from Alexandria describes an optimized crystal structure of Sm2Dy3S8. The functional is GGA-PBE.

Cell and atoms, written as POSCAR:
```
Sm2Dy3S8
1.0
6.9023 -4.0007 0.0000
6.9023 4.0007 0.0000
-2.3173 0.0000 6.3216
Sm Dy S
2 3 8
Direct
0.2358 0.2358 0.1572 Sm
0.7642 0.7642 0.8428 Sm
0.2375 0.7625 0.5000 Dy
0.5000 0.5000 0.0000 Dy
0.7625 0.2375 0.5000 Dy
0.1201 0.1201 0.4213 S
0.1455 0.6099 0.0873 S
0.3854 0.3854 0.5733 S
0.3901 0.8545 0.9127 S
0.6099 0.1455 0.0873 S
0.6146 0.6146 0.4267 S
0.8545 0.3901 0.9127 S
0.8799 0.8799 0.5787 S
```



SmDyS2 | Alexandria | GGA-PBE | relaxed; offset from the most stable computed form = 0.0 meV/atom
1.0
6.8357 0.0000 0.0000
0.0000 3.9608 0.0000
-2.2963 0.0000 6.4733
Sm Dy S
2 2 4
Direct
0.0000 0.0000 0.0000 Sm
0.5000 0.5000 0.0000 Sm
0.0000 0.5000 0.5000 Dy
0.5000 0.0000 0.5000 Dy
0.2467 0.0000 0.7398 S
0.2533 0.5000 0.2602 S
0.7467 0.5000 0.7398 S
0.7533 0.0000 0.2602 S



This record from Alexandria describes an optimized crystal structure of SmDy3S. The functional is GGA-PBE.

Cell and atoms, written as POSCAR:
```
SmDy3S
1.0
5.3159 0.0000 0.0000
0.0000 5.3159 0.0000
0.0000 0.0000 5.3159
Sm Dy S
1 3 1
Direct
0.0000 0.0000 0.0000 Sm
0.0000 0.5000 0.5000 Dy
0.5000 0.0000 0.5000 Dy
0.5000 0.5000 0.0000 Dy
0.5000 0.5000 0.5000 S
```



This record from Alexandria describes an optimized crystal structure of SmDy4S7. The functional is GGA-PBE.

Cell and atoms, written as POSCAR:
```
SmDy4S7
1.0
6.4767 -1.9114 0.0000
6.4767 1.9114 0.0000
-2.9228 0.0000 11.2907
Sm Dy S
1 4 7
Direct
0.0000 0.0000 0.0000 Sm
0.1123 0.1123 0.4218 Dy
0.2235 0.2235 0.8396 Dy
0.4119 0.4119 0.6071 Dy
0.8120 0.8120 0.2342 Dy
0.0689 0.0689 0.6351 S
0.1559 0.1559 0.2090 S
0.3663 0.3663 0.0692 S
0.4537 0.4537 0.3701 S
0.6137 0.6137 0.9170 S
0.7710 0.7710 0.4714 S
0.8507 0.8507 0.7694 S
```



Sm3DyS4 | Alexandria | GGA-PBE | relaxed; offset from the most stable computed form = 7.7 meV/atom
1.0
3.9696 0.0000 0.0000
0.0000 5.6245 0.0000
0.0000 0.0000 8.0089
Sm Dy S
3 1 4
Direct
0.0000 0.0000 0.0000 Sm
0.5000 0.5000 0.2489 Sm
0.5000 0.5000 0.7511 Sm
0.0000 0.0000 0.5000 Dy
0.0000 0.5000 0.0000 S
0.0000 0.5000 0.5000 S
0.5000 0.0000 0.2571 S
0.5000 0.0000 0.7429 S



This record from Alexandria describes an optimized crystal structure of Sm2DyS3. The functional is GGA-PBE.

Cell and atoms, written as POSCAR:
```
Sm2DyS3
1.0
3.9786 0.0000 0.0000
0.0000 5.6169 0.0000
0.0000 0.0000 11.9193
Sm Dy S
4 2 6
Direct
0.0000 0.0000 0.1696 Sm
0.0000 0.0000 0.8304 Sm
0.5000 0.5000 0.3304 Sm
0.5000 0.5000 0.6696 Sm
0.0000 0.0000 0.5000 Dy
0.5000 0.5000 0.0000 Dy
0.0000 0.5000 0.1609 S
0.0000 0.5000 0.5000 S
0.0000 0.5000 0.8391 S
0.5000 0.0000 0.0000 S
0.5000 0.0000 0.3391 S
0.5000 0.0000 0.6609 S
```



Short version: energy = -76.505 -55.577 -80.816 -51.252 -25.919 -76.801 -51.354 -76.976 eV for the cell shown, in the order given.
Short version: uncorrected formation energy = -2.001 -1.771 -1.889 -2.012 -0.653 -2.065 -2.011 -2.011 eV/atom, in the order given.